## HoCr2HgO8 (PBE+U)

Data for a relaxed structure of HoCr2HgO8.

Cell: 7.292 7.292 6.294 Å, 90.00 90.00 90.00°
Space group I-4m2 (No. 119)
Symmetry-distinct sites (fractional):
Ho: 0.000 0.000 0.000 (multiplicity 2)
Cr: 0.000 0.000 0.500 (multiplicity 2)
Cr: 0.000 0.500 0.250 (multiplicity 2)
Hg: 0.000 0.500 0.750 (multiplicity 2)
O: 0.000 0.176 0.669 (multiplicity 8)
O: 0.000 0.309 0.088 (multiplicity 8)

Output
Its spin magnetization is 1.00 μB/f.u. The calculation puts the total DFT energy (no corrections) at -6.523 eV per atom.